Record 1
{"formula": "BaSrCa2Fe", "functional": "meta-GGA SCAN", "state": "single point on PBEsol structure", "lattice_angstrom": [[-2.388, 0.621, -4.410], [-4.435, -3.810, 1.865], [-3.095, 4.752, 2.345]], "species": ["Sr", "Fe", "Ca", "Ca", "Ba"], "frac_coords": [[0.500, 0.500, 0.500], [0.500, 0.000, 0.000], [0.000, 0.500, 0.000], [0.000, 0.000, 0.500], [0.000, 0.000, 0.000]], "m_tot_mub_per_cell": 3.26, "delta_e_f_mev_per_atom": 919, "total_energy_ev_per_cell": -94.687}

---

Record 2
{"formula": "AlPCl2", "functional": "meta-GGA SCAN", "state": "single point on PBEsol structure", "lattice_angstrom": [[3.575, 0.000, 0.000], [-1.787, 3.042, 0.000], [0.000, 0.000, 8.059]], "species": ["Cl", "Cl", "P", "Al"], "frac_coords": [[0.000, 0.000, 0.923], [0.500, 0.000, 0.326], [0.000, 0.000, 0.532], [0.500, 0.000, 0.719]], "relative_energy_mev_per_atom": 179, "m_tot_mub_per_cell": 0.00, "formation_energy_uncorrected_kj_per_mol_fu": -69, "total_energy_ev_per_cell": -34.821}

---

Record 3
{"formula": "Ca2Mg", "functional": "meta-GGA SCAN", "state": "single point on PBEsol structure", "lattice_angstrom": [[-8.191, 5.718, 3.311], [-6.665, -3.979, 7.106], [-0.132, 3.817, 9.806]], "species": ["Ca", "Ca", "Ca", "Ca", "Ca", "Ca", "Ca", "Ca", "Ca", "Ca", "Ca", "Ca", "Ca", "Ca", "Ca", "Ca", "Mg", "Mg", "Mg", "Mg", "Mg", "Mg", "Mg", "Mg"], "frac_coords": [[0.310, 0.690, 0.690], [0.625, 0.125, 0.125], [0.125, 0.125, 0.625], [0.690, 0.690, 0.310], [0.940, 0.940, 0.560], [0.690, 0.310, 0.690], [0.125, 0.125, 0.125], [0.560, 0.560, 0.940], [0.940, 0.560, 0.560], [0.310, 0.310, 0.690], [0.690, 0.310, 0.310], [0.125, 0.625, 0.125], [0.560, 0.940, 0.940], [0.310, 0.690, 0.310], [0.940, 0.560, 0.940], [0.560, 0.940, 0.560], [0.002, 0.333, 0.333], [0.917, 0.248, 0.917], [0.333, 0.333, 0.002], [0.333, 0.333, 0.333], [0.917, 0.917, 0.917], [0.248, 0.917, 0.917], [0.917, 0.917, 0.248], [0.333, 0.002, 0.333]], "m_tot_mub_per_cell": 0.40, "delta_e_f_mev_per_atom": -42, "total_energy_ev_per_cell": -195.401}

---

Record 4
{"formula": "La2AgN", "functional": "meta-GGA SCAN", "state": "single point on PBEsol structure", "lattice_angstrom": [[-4.188, -1.855, 4.610], [6.003, -2.417, 0.601], [1.470, 6.330, 0.005]], "species": ["N", "N", "La", "La", "La", "La", "Ag", "Ag"], "frac_coords": [[0.000, 0.500, 0.500], [0.500, 0.250, 0.750], [0.083, 0.875, 0.458], [0.583, 0.208, 0.125], [0.917, 0.375, 0.792], [0.417, 0.542, 0.625], [0.000, 0.000, 0.000], [0.500, 0.750, 0.250]], "m_tot_mub_per_cell": 0.00, "formation_energy_uncorrected_kj_per_mol_fu": -328, "total_energy_ev_per_cell": -260.539}